Computed, not measured: a relaxed structure of SrRuCl2 at the PBE level of DFT.

The formation energy from raw total energies comes out at -0.43 eV per atom. The calculation puts the density at 4.66 Mg/m³. As for the total magnetic moment: 0.5243 μB per atom. As for the polymorph energy (0 for the lowest one): 0.3055 eV/atom. Its density of states at the Fermi level is 2.9 states/eV per cell.

It has space group Pmmm (No. 47), with a = 3.7337 Å, b = 4.2869 Å, c = 5.7759 Å, α = 90.00°, β = 90.00° and γ = 90.00°. Symmetry generates all atoms from Sr at (0.0000, 0.0000, 0.0000), Ru at (0.5000, 0.0000, 0.5000), Cl at (0.0000, 0.5000, 0.5000) and Cl at (0.5000, 0.5000, 0.0000).